The following is a PBE calculation of crystalline Ac2SnGe3Pt4 at its relaxed geometry, from Alexandria via LeMat-Bulk.

a = 4.550 Å, b = 4.550 Å, c = 10.396 Å
α = 90.00°, β = 90.00°, γ = 90.00°
Space group P-4m2 (No. 115)
Symmetry-distinct sites (fractional):
Ac1 0.000 0.500 0.241 x2
Sn1 0.000 0.000 0.500 x1
Ge1 0.000 0.500 0.880 x2
Ge2 0.500 0.500 0.500 x1
Pt1 0.000 0.000 0.000 x1
Pt2 0.000 0.500 0.638 x2
Pt3 0.500 0.500 0.000 x1

The formation energy from the elements comes out at -920 meV per atom. As for the magnetic moment: 0.0 Bohr magnetons per cell. The total energy comes out at -5.944 eV per atom.